[1]
# AcNd7Y2 (PBE, optimized geometry)
# - Calculated formation energy: 0.62 eV/atom
# - Relative energy among the computed polymorphs: 448 meV/atom
# - Magnetization: 0.00 μB per formula unit
data_AcNd7Y2
_chemical_formula_sum 'Ac2 Nd14 Y4'
_cell_length_a 8.928
_cell_length_b 16.427
_cell_length_c 5.875
_cell_angle_alpha 90.00
_cell_angle_beta 90.00
_cell_angle_gamma 90.00
_symmetry_space_group_name_H-M 'C m m m'
_symmetry_Int_Tables_number 65
_symmetry_space_group_name_Hall '-C 2 2'
loop_
_atom_site_label
_atom_site_type_symbol
_atom_site_fract_x
_atom_site_fract_y
_atom_site_fract_z
Ac1 Ac 0.000 0.000 0.000
Nd1 Nd 0.000 0.231 0.000
Nd2 Nd 0.000 0.500 0.500
Nd3 Nd 0.179 0.116 0.500
Y1 Y 0.000 0.295 0.500

[2]
# TiCoAg2 (PBE, optimized geometry)
# - Calculated formation energy: 0.33 eV/atom
# - Relative energy among the computed polymorphs: 0 meV/atom
# - Magnetization: 1.15 μB per formula unit
data_TiCoAg2
_chemical_formula_sum 'Ti4 Co4 Ag8'
_cell_length_a 6.325
_cell_length_b 6.325
_cell_length_c 6.325
_cell_angle_alpha 90.00
_cell_angle_beta 90.00
_cell_angle_gamma 90.00
_symmetry_space_group_name_H-M 'F m -3 m'
_symmetry_Int_Tables_number 225
_symmetry_space_group_name_Hall '-F 4 2 3'
loop_
_atom_site_label
_atom_site_type_symbol
_atom_site_fract_x
_atom_site_fract_y
_atom_site_fract_z
Ti1 Ti 0.000 0.000 0.000
Co1 Co 0.000 0.000 0.500
Ag1 Ag 0.250 0.250 0.250